Run A
Compound: LiIBr2
Source: the Alexandria database
Functional: GGA-PBEsol
Structure: relaxed

a b c (Å): 8.404 8.404 8.404
angles (deg): 28.70 28.70 28.70
Atoms (fractional coordinates):
1 Li 0.000 0.000 0.000
2 I 0.500 0.500 0.500
3 Br 0.388 0.388 0.388
4 Br 0.612 0.612 0.612

For the volume, the calculation gives 30.26 Å³/atom. Its space-group type is R-3m. The total magnetization is 0.00 μB per formula unit.



Run B
Compound: LiIBr2
Source: the Alexandria database
Functional: GGA-PBEsol
Structure: relaxed

a b c (Å): 6.510 6.510 6.510
angles (deg): 107.25 107.25 114.01
Atoms (fractional coordinates):
1 Li 0.000 0.000 0.000
2 Li 0.750 0.250 0.500
3 I 0.250 0.750 0.500
4 I 0.500 0.500 0.000
5 Br 0.056 0.625 0.931
6 Br 0.375 0.306 0.431
7 Br 0.694 0.125 0.069
8 Br 0.875 0.944 0.569

For the volume, the calculation gives 26.42 Å³/atom. Its space-group type is I-42d. The total magnetization is 0.00 μB per formula unit. Its density of states at the Fermi level is 4.4 states/eV/f.u.



Computed relative energies in units of kJ/mol of atoms: run A 0.0; run B 29.7